Entry 1:
VASP calculation (meta-GGA SCAN) on a PBEsol-optimized structure of SbMo5. Values from VASP.

Total DFT energy (no corrections), eV per atom: -34.928

```
&SYSTEM
  ibrav = 0, nat = 6, ntyp = 2
/
ATOMIC_SPECIES
Sb 121.76 Sb.upf
Mo 95.94 Mo.upf
ATOMIC_POSITIONS angstrom
Sb 0.000 0.000 0.000
Mo -0.822 1.423 2.356
Mo 0.000 2.802 0.000
Mo 1.643 0.000 2.356
Mo 1.605 2.780 2.356
Mo 2.427 1.401 0.000
CELL_PARAMETERS angstrom
4.854 0.000 0.000
-2.427 4.203 0.000
0.000 0.000 4.712
```

Entry 2:
VASP calculation (meta-GGA SCAN) on a PBEsol-optimized structure of RbAgHg3. Values from VASP.

Energy relative to the lowest polymorph listed for this composition, meV/atom: 0

```
&SYSTEM
  ibrav = 0, nat = 5, ntyp = 3
/
ATOMIC_SPECIES
Rb 85.47 Rb.upf
Ag 107.87 Ag.upf
Hg 200.59 Hg.upf
ATOMIC_POSITIONS angstrom
Rb 0.000 0.000 0.000
Ag 2.688 2.688 2.688
Hg 0.000 2.688 2.688
Hg 2.688 0.000 2.688
Hg 2.688 2.688 0.000
CELL_PARAMETERS angstrom
5.376 0.000 0.000
0.000 5.376 0.000
0.000 0.000 5.376
```

Entry 3:
VASP calculation (meta-GGA SCAN) on a PBEsol-optimized structure of Cd4MoBr. Values from VASP.

Total DFT energy (no corrections), eV per atom: -28.766

```
&SYSTEM
  ibrav = 0, nat = 6, ntyp = 3
/
ATOMIC_SPECIES
Cd 112.41 Cd.upf
Mo 95.94 Mo.upf
Br 79.90 Br.upf
ATOMIC_POSITIONS angstrom
Cd 3.035 3.035 3.035
Cd 5.044 5.044 3.035
Cd 5.044 3.035 5.044
Cd 3.035 5.044 5.044
Mo 6.059 6.059 6.059
Br 0.000 0.000 0.000
CELL_PARAMETERS angstrom
0.000 4.039 4.039
4.039 0.000 4.039
4.039 4.039 0.000
```

Entry 4:
VASP calculation (meta-GGA SCAN) on a PBEsol-optimized structure of Zr2SnP2. Values from VASP.

Total DFT energy (no corrections), eV per atom: -24.424

```
&SYSTEM
  ibrav = 0, nat = 10, ntyp = 3
/
ATOMIC_SPECIES
Zr 91.22 Zr.upf
Sn 118.71 Sn.upf
P 30.97 P.upf
ATOMIC_POSITIONS angstrom
Zr 0.000 0.000 1.694
Zr 0.000 0.000 12.806
Zr 1.791 1.791 5.556
Zr 1.791 1.791 8.944
Sn 0.000 0.000 7.250
Sn 1.791 1.791 0.000
P 0.000 1.791 3.625
P 0.000 1.791 10.875
P 1.791 0.000 3.625
P 1.791 0.000 10.875
CELL_PARAMETERS angstrom
3.583 0.000 0.000
0.000 3.583 0.000
0.000 0.000 14.500
```

Entry 5:
VASP calculation (meta-GGA SCAN) on a PBEsol-optimized structure of CsSb2Pb2. Values from VASP.

Energy relative to the lowest polymorph listed for this composition, meV/atom: 0

```
&SYSTEM
  ibrav = 0, nat = 10, ntyp = 3
/
ATOMIC_SPECIES
Cs 132.91 Cs.upf
Sb 121.76 Sb.upf
Pb 207.20 Pb.upf
ATOMIC_POSITIONS angstrom
Cs 0.000 0.000 0.000
Cs 2.705 2.705 6.380
Sb 0.000 2.705 3.190
Sb 0.000 2.705 9.570
Sb 2.705 0.000 3.190
Sb 2.705 0.000 9.570
Pb 0.000 0.000 4.687
Pb 0.000 0.000 8.073
Pb 2.705 2.705 1.693
Pb 2.705 2.705 11.067
CELL_PARAMETERS angstrom
5.411 0.000 0.000
0.000 5.411 0.000
0.000 0.000 12.760
```

Entry 6:
VASP calculation (meta-GGA SCAN) on a PBEsol-optimized structure of Al2FeOsW. Values from VASP.

Total DFT energy (no corrections), eV per atom: -33.733

```
&SYSTEM
  ibrav = 0, nat = 5, ntyp = 4
/
ATOMIC_SPECIES
Al 26.98 Al.upf
Fe 55.84 Fe.upf
Os 190.23 Os.upf
W 183.84 W.upf
ATOMIC_POSITIONS angstrom
Al 0.000 2.246 0.000
Al 2.246 0.000 0.000
Fe 0.000 0.000 2.262
Os 0.000 0.000 0.000
W 2.246 2.246 2.262
CELL_PARAMETERS angstrom
4.491 0.000 0.000
0.000 4.491 0.000
0.000 0.000 4.524
```

Entry 7:
VASP calculation (meta-GGA SCAN) on a PBEsol-optimized structure of Fe2Rh. Values from VASP.

Total DFT energy (no corrections), eV per atom: -23.584

```
&SYSTEM
  ibrav = 0, nat = 12, ntyp = 2
/
ATOMIC_SPECIES
Fe 55.84 Fe.upf
Rh 102.91 Rh.upf
ATOMIC_POSITIONS angstrom
Fe 0.000 0.000 0.000
Fe 0.000 1.969 1.455
Fe 0.000 6.175 1.455
Fe 0.000 10.381 1.455
Fe 2.066 0.000 1.455
Fe 2.066 4.206 1.455
Fe 2.066 6.175 0.000
Fe 2.066 8.144 1.455
Rh 0.000 4.107 0.000
Rh 0.000 8.243 0.000
Rh 2.066 2.068 0.000
Rh 2.066 10.282 0.000
CELL_PARAMETERS angstrom
4.131 0.000 0.000
0.000 12.350 0.000
0.000 0.000 2.910
```

Entry 8:
VASP calculation (meta-GGA SCAN) on a PBEsol-optimized structure of BeCoRe2. Values from VASP.

Total DFT energy (no corrections), eV per atom: -40.987

```
&SYSTEM
  ibrav = 0, nat = 16, ntyp = 3
/
ATOMIC_SPECIES
Be 9.01 Be.upf
Co 58.93 Co.upf
Re 186.21 Re.upf
ATOMIC_POSITIONS angstrom
Be 0.000 0.000 0.000
Be 0.000 2.914 2.914
Be 2.914 0.000 2.914
Be 2.914 2.914 0.000
Co 1.457 1.457 4.371
Co 1.457 4.371 1.457
Co 4.371 1.457 1.457
Co 4.371 4.371 4.371
Re 0.000 0.000 2.914
Re 0.000 2.914 0.000
Re 1.457 1.457 1.457
Re 1.457 4.371 4.371
Re 2.914 0.000 0.000
Re 2.914 2.914 2.914
Re 4.371 1.457 4.371
Re 4.371 4.371 1.457
CELL_PARAMETERS angstrom
5.828 0.000 0.000
0.000 5.828 0.000
0.000 0.000 5.828
```

Entry 9:
VASP calculation (meta-GGA SCAN) on a PBEsol-optimized structure of RuPbI2N. Values from VASP.

Total DFT energy (no corrections), eV per atom: -37.185

```
&SYSTEM
  ibrav = 0, nat = 5, ntyp = 4
/
ATOMIC_SPECIES
Ru 101.07 Ru.upf
Pb 207.20 Pb.upf
I 126.90 I.upf
N 14.01 N.upf
ATOMIC_POSITIONS angstrom
Ru 0.000 0.000 0.000
Pb 3.021 3.021 2.004
I 0.000 3.021 2.004
I 3.021 0.000 2.004
N 3.021 3.021 0.000
CELL_PARAMETERS angstrom
6.042 0.000 0.000
0.000 6.042 0.000
0.000 0.000 4.007
```

Entry 10:
VASP calculation (meta-GGA SCAN) on a PBEsol-optimized structure of LiZr2Pb. Values from VASP.

Total DFT energy (no corrections), eV per atom: -34.752

```
&SYSTEM
  ibrav = 0, nat = 12, ntyp = 3
/
ATOMIC_SPECIES
Li 6.94 Li.upf
Zr 91.22 Zr.upf
Pb 207.20 Pb.upf
ATOMIC_POSITIONS angstrom
Li 0.000 0.000 0.000
Li 0.000 1.841 20.322
Li 1.595 0.921 10.161
Zr 0.000 0.000 7.667
Zr 0.000 0.000 22.816
Zr 0.000 1.841 12.655
Zr 0.000 1.841 27.989
Zr 1.595 0.921 2.494
Zr 1.595 0.921 17.828
Pb 0.000 0.000 15.242
Pb 0.000 1.841 5.081
Pb 1.595 0.921 25.403
CELL_PARAMETERS angstrom
3.189 0.000 0.000
-1.595 2.762 0.000
0.000 0.000 30.483
```

Entry 11:
VASP calculation (meta-GGA SCAN) on a PBEsol-optimized structure of LiRe2Mo. Values from VASP.

Energy relative to the lowest polymorph listed for this composition, meV/atom: 22

```
&SYSTEM
  ibrav = 0, nat = 8, ntyp = 3
/
ATOMIC_SPECIES
Li 6.94 Li.upf
Re 186.21 Re.upf
Mo 95.94 Mo.upf
ATOMIC_POSITIONS angstrom
Li 0.000 0.000 0.000
Li 2.659 4.354 0.000
Re 0.874 2.177 1.224
Re 0.874 6.530 1.224
Re 3.533 2.177 1.224
Re 3.533 6.530 1.224
Mo 0.000 4.354 0.000
Mo 2.659 0.000 0.000
CELL_PARAMETERS angstrom
5.318 0.000 0.000
0.000 8.707 0.000
-0.912 0.000 2.449
```

Entry 12:
VASP calculation (meta-GGA SCAN) on a PBEsol-optimized structure of FeSbTe2. Values from VASP.

Total DFT energy (no corrections), eV per atom: -32.225

```
&SYSTEM
  ibrav = 0, nat = 8, ntyp = 3
/
ATOMIC_SPECIES
Fe 55.84 Fe.upf
Sb 121.76 Sb.upf
Te 127.60 Te.upf
ATOMIC_POSITIONS angstrom
Fe 0.000 0.000 0.000
Fe 1.624 2.417 5.956
Sb 0.000 2.417 8.093
Sb 1.624 0.000 2.137
Te 0.000 0.000 6.175
Te 0.000 2.417 3.928
Te 1.624 0.000 9.884
Te 1.624 2.417 0.219
CELL_PARAMETERS angstrom
3.248 0.000 0.000
0.000 4.834 0.000
0.000 0.000 11.912
```

Entry 13:
VASP calculation (meta-GGA SCAN) on a PBEsol-optimized structure of Li3Ti2V3O10. Values from VASP.

Total DFT energy (no corrections), eV per atom: -11.329

```
&SYSTEM
  ibrav = 0, nat = 18, ntyp = 4
/
ATOMIC_SPECIES
Li 6.94 Li.upf
Ti 47.87 Ti.upf
V 50.94 V.upf
O 16.00 O.upf
ATOMIC_POSITIONS angstrom
Li 0.000 0.000 0.000
Li 3.240 3.778 0.653
Li 4.790 3.091 6.404
Ti 0.806 2.270 1.351
Ti 7.225 4.599 5.706
V 1.659 2.037 4.216
V 4.015 3.434 3.528
V 6.372 4.832 2.841
O 1.450 0.532 1.174
O 2.313 3.006 2.540
O 3.820 4.923 6.832
O 3.117 5.168 3.889
O 3.144 2.804 5.185
O 4.886 4.065 1.871
O 4.913 1.700 3.168
O 4.210 1.946 0.225
O 5.717 3.863 4.517
O 6.580 6.337 5.883
CELL_PARAMETERS angstrom
4.938 0.000 0.000
0.830 4.957 0.000
2.262 1.912 7.057
```

Entry 14:
VASP calculation (meta-GGA SCAN) on a PBEsol-optimized structure of CuAs2SeO. Values from VASP.

Total DFT energy (no corrections), eV per atom: -15.375

```
&SYSTEM
  ibrav = 0, nat = 5, ntyp = 4
/
ATOMIC_SPECIES
Cu 63.55 Cu.upf
As 74.92 As.upf
Se 78.96 Se.upf
O 16.00 O.upf
ATOMIC_POSITIONS angstrom
Cu 0.000 0.000 0.000
As 0.000 2.287 0.000
As 2.287 0.000 0.000
Se 0.000 0.000 2.322
O 2.287 2.287 2.322
CELL_PARAMETERS angstrom
4.574 0.000 0.000
0.000 4.574 0.000
0.000 0.000 4.645
```

Entry 15:
VASP calculation (meta-GGA SCAN) on a PBEsol-optimized structure of KHf3Mg. Values from VASP.

Total DFT energy (no corrections), eV per atom: -38.673

```
&SYSTEM
  ibrav = 0, nat = 5, ntyp = 3
/
ATOMIC_SPECIES
K 39.10 K.upf
Hf 178.49 Hf.upf
Mg 24.30 Mg.upf
ATOMIC_POSITIONS angstrom
K 0.000 0.000 0.000
Hf 0.000 2.599 2.599
Hf 2.599 0.000 2.599
Hf 2.599 2.599 0.000
Mg 2.599 2.599 2.599
CELL_PARAMETERS angstrom
5.199 0.000 0.000
0.000 5.199 0.000
0.000 0.000 5.199
```

Entry 16:
VASP calculation (meta-GGA SCAN) on a PBEsol-optimized structure of KBa8. Values from VASP.

Total DFT energy (no corrections), eV per atom: -36.020

```
&SYSTEM
  ibrav = 0, nat = 9, ntyp = 2
/
ATOMIC_SPECIES
K 39.10 K.upf
Ba 137.33 Ba.upf
ATOMIC_POSITIONS angstrom
K 0.000 0.000 0.000
Ba 4.389 0.000 0.000
Ba 8.794 0.000 0.000
Ba 4.382 4.382 0.000
Ba 2.209 -2.209 3.135
Ba 0.000 4.389 0.000
Ba 0.000 8.794 0.000
Ba -2.209 2.209 3.135
Ba 2.209 2.209 3.135
CELL_PARAMETERS angstrom
-6.591 6.591 3.135
6.591 -6.591 3.135
6.591 6.591 -3.135
```

Entry 17:
VASP calculation (meta-GGA SCAN) on a PBEsol-optimized structure of Na2CuSi4O10. Values from VASP.

Total DFT energy (no corrections), eV per atom: -10.034

```
&SYSTEM
  ibrav = 0, nat = 34, ntyp = 4
/
ATOMIC_SPECIES
Na 22.99 Na.upf
Cu 63.55 Cu.upf
Si 28.09 Si.upf
O 16.00 O.upf
ATOMIC_POSITIONS angstrom
Na 0.210 -0.531 3.765
Na -1.217 5.302 0.213
Na 3.484 -1.950 8.730
Na 2.057 3.883 5.178
Cu -1.423 3.881 5.126
Cu 3.690 -0.529 3.817
Si -1.863 -0.121 6.710
Si 0.187 -2.050 7.615
Si 0.132 3.251 2.378
Si 2.107 1.040 1.712
Si 0.161 2.312 7.231
Si 2.135 0.101 6.565
Si 2.080 5.402 1.328
Si 4.130 3.473 2.233
O -2.856 3.892 3.768
O -1.327 3.176 1.606
O -1.316 -1.349 7.681
O -2.889 3.892 6.379
O -1.069 1.245 7.125
O 1.874 0.739 0.101
O 0.755 1.729 2.338
O 2.366 -0.390 2.376
O 0.066 3.824 3.865
O 0.996 4.172 1.329
O 1.271 -0.820 7.614
O 2.201 -0.472 5.078
O -0.099 3.742 6.567
O 1.513 1.623 6.606
O 0.394 2.613 8.842
O 3.336 2.107 1.818
O 5.156 -0.540 2.564
O 3.583 4.701 1.263
O 3.595 0.176 7.337
O 5.123 -0.540 5.175
CELL_PARAMETERS angstrom
6.954 0.000 0.000
-3.185 6.935 0.000
-1.502 -3.584 8.943
```

Entry 18:
VASP calculation (meta-GGA SCAN) on a PBEsol-optimized structure of Na5Ca4P4O16F. Values from VASP.

Total DFT energy (no corrections), eV per atom: -9.748

```
&SYSTEM
  ibrav = 0, nat = 30, ntyp = 5
/
ATOMIC_SPECIES
Na 22.99 Na.upf
Ca 40.08 Ca.upf
P 30.97 P.upf
O 16.00 O.upf
F 19.00 F.upf
ATOMIC_POSITIONS angstrom
Na 0.000 0.000 0.000
Na 4.712 1.287 0.072
Na 4.502 -1.077 2.633
Na 1.287 6.866 -0.072
Na 1.077 4.502 2.776
Ca 7.077 3.728 0.119
Ca 3.728 4.500 -0.119
Ca 2.060 1.289 2.586
Ca -1.289 2.060 2.823
P 8.683 1.213 -0.071
P 1.213 2.894 0.071
P 4.576 2.894 2.775
P -2.894 4.576 2.634
O 5.361 3.232 -1.339
O 7.141 1.197 0.157
O 2.173 -0.575 1.141
O 3.376 -3.123 2.409
O 3.615 6.364 -1.563
O 2.666 2.413 0.295
O 1.197 4.437 -0.157
O 0.428 2.556 1.366
O 4.592 1.352 2.547
O 5.213 3.615 1.563
O 2.556 -0.428 4.043
O 2.413 8.911 -0.295
O 3.232 6.217 1.339
O 3.123 3.376 3.000
O -1.352 4.592 2.861
O 0.575 2.173 4.268
F 0.000 0.000 2.704
CELL_PARAMETERS angstrom
-5.789 5.789 2.704
5.789 -5.789 2.704
5.789 5.789 -2.704
```

Entry 19:
VASP calculation (meta-GGA SCAN) on a PBEsol-optimized structure of Mg5Tc. Values from VASP.

Energy relative to the lowest polymorph listed for this composition, meV/atom: 0

```
&SYSTEM
  ibrav = 0, nat = 6, ntyp = 2
/
ATOMIC_SPECIES
Mg 24.30 Mg.upf
Tc 98.00 Tc.upf
ATOMIC_POSITIONS angstrom
Mg 0.000 0.000 0.000
Mg 4.847 2.921 2.921
Mg 2.921 4.847 2.921
Mg 2.921 2.921 4.847
Mg 4.847 4.847 4.847
Tc 1.942 1.942 1.942
CELL_PARAMETERS angstrom
0.000 3.884 3.884
3.884 0.000 3.884
3.884 3.884 0.000
```

Entry 20:
VASP calculation (meta-GGA SCAN) on a PBEsol-optimized structure of LaReMo2. Values from VASP.

Energy relative to the lowest polymorph listed for this composition, meV/atom: 0

```
&SYSTEM
  ibrav = 0, nat = 12, ntyp = 3
/
ATOMIC_SPECIES
La 138.91 La.upf
Re 186.21 Re.upf
Mo 95.94 Mo.upf
ATOMIC_POSITIONS angstrom
La 0.000 0.000 0.000
La 0.000 1.669 19.746
La 1.445 0.834 9.873
Re 0.000 0.000 14.809
Re 0.000 1.669 4.936
Re 1.445 0.834 24.682
Mo 0.000 0.000 7.048
Mo 0.000 0.000 22.570
Mo 0.000 1.669 12.697
Mo 0.000 1.669 26.794
Mo 1.445 0.834 2.825
Mo 1.445 0.834 16.921
CELL_PARAMETERS angstrom
2.891 0.000 0.000
-1.445 2.503 0.000
0.000 0.000 29.618
```

Number 1: density of states at the Fermi level 1.097 states/eV/atom. Number 2: density of states at the Fermi level 0.414 states/eV/atom. Number 3: density of states at the Fermi level 0.443 states/eV/atom. Number 4: density of states at the Fermi level 0.503 states/eV/atom. Number 5: density of states at the Fermi level 0.570 states/eV/atom. Number 6: density of states at the Fermi level 0.841 states/eV/atom. Number 7: density of states at the Fermi level 0.232 states/eV/atom. Number 8: density of states at the Fermi level 0.526 states/eV/atom. Number 9: density of states at the Fermi level 0.837 states/eV/atom. Number 10: density of states at the Fermi level 1.103 states/eV/atom. Number 11: density of states at the Fermi level 0.641 states/eV/atom. Number 12: density of states at the Fermi level 0.785 states/eV/atom. Number 13: density of states at the Fermi level 0.183 states/eV/atom. Number 14: density of states at the Fermi level 0.649 states/eV/atom. Number 15: density of states at the Fermi level 1.593 states/eV/atom. Number 16: density of states at the Fermi level 1.353 states/eV/atom. Number 17: density of states at the Fermi level 0.000 states/eV/atom. Number 18: density of states at the Fermi level 0.000 states/eV/atom. Number 19: density of states at the Fermi level 0.590 states/eV/atom. Number 20: density of states at the Fermi level 1.122 states/eV/atom.